Entry 1:
This record from Alexandria via LeMat-Bulk describes a relaxed structure of ErUFe. The functional is PBE.

Computed properties:
DOS at the Fermi energy   12.53 states/eV per cell
Formation enthalpy at 0 K   0.083 eV/atom
E above lowest polymorph   18 meV per atom
M_tot   1.4 μB per formula unit

a b c (Å): 5.101 5.101 5.832
angles (deg): 105.69 105.69 112.45
Element x y z (fractional)
Fe 0.250 0.750 0.500
Fe 0.750 0.250 0.500
Er 0.680 0.320 0.000
Er 0.320 0.680 0.000
U 0.812 0.812 0.624
U 0.188 0.188 0.376



Entry 2:
This record from Alexandria via LeMat-Bulk describes a relaxed structure of HfGaPd2. The functional is PBE.

Computed properties:
DOS at the Fermi energy   3.17 states/eV per cell
Formation enthalpy at 0 K   -0.138 eV/atom
M_tot   0.0 μB per formula unit

a b c (Å): 5.851 5.851 5.851
angles (deg): 58.33 151.37 130.34
Element x y z (fractional)
Ga 0.000 0.000 0.000
Pd 0.000 0.249 0.249
Pd 0.000 0.751 0.751
Hf 0.000 0.500 0.500



Entry 3:
This record from Alexandria via LeMat-Bulk describes a relaxed structure of CoP2WS. The functional is PBE.

Computed properties:
DOS at the Fermi energy   4.26 states/eV per cell
E above lowest polymorph   0 meV per atom
E_form (uncorrected)   0.91 eV per atom
M_tot   2.4 μB per formula unit

a b c (Å): 4.738 4.738 4.588
angles (deg): 90.00 90.00 90.00
Element x y z (fractional)
Co 0.500 0.500 0.500
P 0.000 0.500 0.000
P 0.500 0.000 0.000
W 0.000 0.000 0.000
S 0.000 0.000 0.500



Which formula does entry 2 have?
HfGaPd2